Below is a relaxed structure of ZnGa2Cu6, with properties calculated at the PBE level.

Properties
The density of states at the Fermi level comes out at 1.9 states/eV/f.u. Its total magnetization is 0.00 μB/cell. The formation energy is -81 meV per atom.

a b c (Å): 4.495 4.495 7.831
angles (deg): 105.06 105.06 49.90
Fractional coordinates of all 9 atoms:
Zn (0.000, 0.000, 0.000)
Ga (0.326, 0.326, 0.766)
Ga (0.674, 0.674, 0.234)
Cu (0.000, 0.000, 0.336)
Cu (0.000, 0.000, 0.664)
Cu (0.335, 0.335, 0.109)
Cu (0.335, 0.335, 0.445)
Cu (0.665, 0.665, 0.555)
Cu (0.665, 0.665, 0.891)

Below is a relaxed structure of TaBe2Nb2, with properties calculated at the PBE level.

Properties
The density of states at the Fermi level comes out at 4.7 states/eV/f.u. Its total magnetization is 0.00 μB/cell. The formation energy is -176 meV per atom.

a b c (Å): 6.525 6.525 3.370
angles (deg): 90.00 90.00 90.00
Fractional coordinates of all 10 atoms:
Ta (0.000, 0.000, 0.000)
Ta (0.500, 0.500, 0.000)
Be (0.114, 0.386, 0.000)
Be (0.386, 0.886, 0.000)
Be (0.614, 0.114, 0.000)
Be (0.886, 0.614, 0.000)
Nb (0.179, 0.679, 0.500)
Nb (0.321, 0.179, 0.500)
Nb (0.679, 0.821, 0.500)
Nb (0.821, 0.321, 0.500)

Below is a relaxed structure of CaTbPm2Pr6, with properties calculated at the PBE level.

Properties
The density of states at the Fermi level comes out at 15.3 states/eV/f.u. Its total magnetization is 0.00 μB/cell. The formation energy is 122 meV per atom.

a b c (Å): 9.127 9.127 10.052
angles (deg): 94.66 94.66 118.78
Fractional coordinates of all 20 atoms:
Ca (0.098, 0.902, 0.750)
Ca (0.902, 0.098, 0.250)
Tb (0.477, 0.523, 0.250)
Tb (0.523, 0.477, 0.750)
Pm (0.202, 0.300, 0.958)
Pm (0.300, 0.202, 0.458)
Pm (0.700, 0.798, 0.542)
Pm (0.798, 0.700, 0.042)
Pr (0.002, 0.215, 0.623)
Pr (0.075, 0.528, 0.178)
Pr (0.215, 0.002, 0.123)
Pr (0.264, 0.618, 0.552)
Pr (0.382, 0.736, 0.948)
Pr (0.472, 0.925, 0.322)
Pr (0.528, 0.075, 0.678)
Pr (0.618, 0.264, 0.052)
Pr (0.736, 0.382, 0.448)
Pr (0.785, 0.998, 0.877)
Pr (0.925, 0.472, 0.822)
Pr (0.998, 0.785, 0.377)

Question: What is the formula in the first record?
Answer: ZnGa2Cu6